The following is a DFT calculation (PBE) of LiCuCO3 after structural relaxation.

```
data_LiCuCO3
_space_group_name_H-M_alt 'P 1'
_space_group_IT_number 1
_cell_length_a 6.551
_cell_length_b 5.137
_cell_length_c 5.030
_cell_angle_alpha 61.36
_cell_angle_beta 112.71
_cell_angle_gamma 84.90
loop_
_space_group_symop_operation_xyz
'x,y,z'
loop_
_atom_site_label
_atom_site_type_symbol
_atom_site_fract_x
_atom_site_fract_y
_atom_site_fract_z
Li1 Li 0.692 0.619 0.470
Li2 Li 0.308 0.381 0.530
Cu1 Cu 0.741 0.285 0.180
Cu2 Cu 0.259 0.715 0.820
C1 C 0.743 0.933 0.838
C2 C 0.257 0.067 0.162
O1 O 0.773 0.683 0.117
O2 O 0.762 0.914 0.600
O3 O 0.692 0.207 0.795
O4 O 0.308 0.793 0.205
O5 O 0.238 0.086 0.400
O6 O 0.227 0.317 0.883
```

## Properties
* magnetization: 0.0000 μB per atom
* space-group type: P-1
* density of states at the Fermi level: 0.0000 states/eV/atom
* formation energy from raw total energies: -1.30 eV/atom
* uncorrected energy: -75.86 eV per cell